Version 1
DFT (PBE) results for crystalline ZnAg8 at its relaxed geometry.

Geometry as extended XYZ:
```
9
Lattice="3.1054 0.0000 0.0000 1.5527 7.1440 0.0000 1.5527 0.0000 7.1440" Properties=species:S:1:pos:R:3 pbc="T T T"
Ag 1.5527 2.3042 0.0000
Ag 3.1054 4.8398 0.0000
Ag 1.5527 2.3850 4.7590
Ag 1.5527 0.0000 2.3042
Ag 3.1054 2.3850 2.3850
Ag 1.5527 4.7590 2.3850
Ag 3.1054 4.7590 4.7590
Ag 3.1054 0.0000 4.8398
Zn 0.0000 0.0000 0.0000
```

Values from the calculation:
**Space-group type**: I4/mmm
**Mass density**: 9.73 g cm⁻³
**DOS at the Fermi energy**: 1.7 states/eV/cell



Version 2
DFT (PBE) results for crystalline ZnAg8 at its relaxed geometry.

Geometry as extended XYZ:
```
9
Lattice="-3.0995 2.8538 4.9977 -2.9427 -5.4384 2.1195 -2.0617 -2.8329 8.0493" Properties=species:S:1:pos:R:3 pbc="T T T"
Ag -2.9947 -2.6904 3.0733
Ag -3.7394 -0.8836 6.7349
Ag -4.4159 -1.8131 9.3760
Ag -1.3785 -1.8941 5.3819
Ag -4.3645 -4.5339 8.4316
Ag -3.0475 0.1058 4.0439
Ag -0.6832 -0.9388 2.6675
Ag -3.6880 -3.6044 5.7905
Zn 0.0000 0.0000 0.0000
```

Values from the calculation:
**Space-group type**: I4/mmm
**Mass density**: 9.77 g cm⁻³
**DOS at the Fermi energy**: 4.8 states/eV/cell



Name the least stable of them. version 1.



Version 1
DFT (PBE) results for crystalline Zn5Ag7 at its relaxed geometry.

Geometry as extended XYZ:
```
12
Lattice="-0.9712 1.1024 2.4703 4.3881 -4.2132 1.9334 7.2315 8.8313 -1.0981" Properties=species:S:1:pos:R:3 pbc="T T T"
Zn 6.1047 3.1159 2.6816
Zn 4.5437 2.6047 0.6239
Zn 3.8670 -1.5539 2.2138
Zn 6.7814 7.2745 1.0917
Zn 0.0000 0.0000 0.0000
Ag 8.9723 5.6050 1.0261
Ag 6.2878 4.6588 0.3930
Ag 8.5215 3.7819 3.3345
Ag 2.1269 1.9386 -0.0290
Ag 4.3606 1.0618 2.9126
Ag 1.6761 0.1156 2.2794
Ag 3.1301 4.9669 0.6861
```

Values from the calculation:
**Space-group type**: C2/m
**Mass density**: 8.82 g cm⁻³
**DOS at the Fermi energy**: 2.9 states/eV/cell



Version 2
DFT (PBE) results for crystalline Zn5Ag7 at its relaxed geometry.

Geometry as extended XYZ:
```
12
Lattice="-2.3346 -0.6256 1.8209 2.9102 -6.4918 -1.0138 4.1185 6.5397 7.5271" Properties=species:S:1:pos:R:3 pbc="T T T"
Zn 2.5904 0.9684 3.6539
Zn 2.1309 -2.0367 2.0322
Zn 2.5633 1.4589 6.3021
Zn 2.1037 -1.5461 4.6804
Zn 0.0000 0.0000 0.0000
Ag 0.2476 -0.1557 2.7785
Ag 5.1188 1.9206 7.2226
Ag 1.2849 -4.6010 2.5811
Ag 0.8920 2.9571 4.6740
Ag 3.4092 4.0233 5.7532
Ag 4.4465 -0.4220 5.5558
Ag -0.4246 -2.4983 1.1117
```

Values from the calculation:
**Space-group type**: C2/m
**Mass density**: 9.06 g cm⁻³
**DOS at the Fermi energy**: 2.9 states/eV/cell



Name the least stable of them. version 1.